# NpBi2Te | Alexandria | GGA-PBE | optimized geometry
data_NpBi2Te
_chemical_formula_sum 'Np1 Bi2 Te1'
_cell_length_a 4.486
_cell_length_b 4.486
_cell_length_c 5.985
_cell_angle_alpha 90.00
_cell_angle_beta 90.00
_cell_angle_gamma 90.00
_space_group_name_H-M_alt 'P 4/m m m'
_space_group_IT_number 123
_space_group_name_Hall '-P 4 2'
loop_
_atom_site_label
_atom_site_type_symbol
_atom_site_fract_x
_atom_site_fract_y
_atom_site_fract_z
Np1 Np 0.000 0.000 0.000
Bi1 Bi 0.000 0.500 0.500
Te1 Te 0.500 0.500 0.000
# - M_tot: 3.87 μB/f.u.
# - Energy above the most stable polymorph in this dataset: 0.0 meV/atom
# - Total energy: -24.2 eV per cell
# - Energy relative to the elements, uncorrected: -0.101 eV per atom

# Er4AlTlCd2 | Alexandria | GGA-PBE | optimized geometry
data_Er4AlTlCd2
_chemical_formula_sum 'Er12 Al3 Tl3 Cd6'
_cell_length_a 5.2095
_cell_length_b 5.2095
_cell_length_c 25.6220
_cell_angle_alpha 90.00
_cell_angle_beta 90.00
_cell_angle_gamma 120.00
_space_group_name_H-M_alt 'R -3 m'
_space_group_IT_number 166
_space_group_name_Hall '-R 3 2"'
loop_
_atom_site_label
_atom_site_type_symbol
_atom_site_fract_x
_atom_site_fract_y
_atom_site_fract_z
Er1 Er 0.0000 0.0000 0.1221
Er2 Er 0.0000 0.0000 0.3725
Al1 Al 0.0000 0.0000 0.0000
Tl1 Tl 0.0000 0.0000 0.5000
Cd1 Cd 0.0000 0.0000 0.2512
# - M_tot: 0.00 μB/f.u.
# - Total energy: -86.6 eV per cell

# ScTcRh2 | Alexandria | GGA-PBE | optimized geometry
data_ScTcRh2
_chemical_formula_sum 'Sc3 Tc3 Rh6'
_cell_length_a 2.8844
_cell_length_b 2.8844
_cell_length_c 26.3601
_cell_angle_alpha 90.00
_cell_angle_beta 90.00
_cell_angle_gamma 120.00
_space_group_name_H-M_alt 'R 3 m'
_space_group_IT_number 160
_space_group_name_Hall 'R 3 -2"'
loop_
_atom_site_label
_atom_site_type_symbol
_atom_site_fract_x
_atom_site_fract_y
_atom_site_fract_z
Sc1 Sc 0.0000 0.0000 0.0000
Tc1 Tc 0.0000 0.0000 0.2429
Rh1 Rh 0.0000 0.0000 0.4997
Rh2 Rh 0.0000 0.0000 0.7453
# - M_tot: 0.00 μB/f.u.
# - Energy above the most stable polymorph in this dataset: 357.3 meV/atom
# - Total energy: -94.6 eV per cell

# Pm6Sn5H | Alexandria | GGA-PBE | optimized geometry
data_Pm6Sn5H
_chemical_formula_sum 'Pm12 Sn10 H2'
_cell_length_a 8.451
_cell_length_b 16.015
_cell_length_c 5.966
_cell_angle_alpha 90.00
_cell_angle_beta 123.17
_cell_angle_gamma 90.00
_space_group_name_H-M_alt 'C 1 2/m 1'
_space_group_IT_number 12
_space_group_name_Hall '-C 2y'
loop_
_atom_site_label
_atom_site_type_symbol
_atom_site_fract_x
_atom_site_fract_y
_atom_site_fract_z
Pm1 Pm 0.210 0.000 0.348
Pm2 Pm 0.248 0.168 0.759
Sn1 Sn 0.000 0.162 0.000
Sn2 Sn 0.000 0.340 0.500
Sn3 Sn 0.000 0.500 0.000
H1 H 0.000 0.000 0.500
# - M_tot: 0.00 μB/f.u.
# - Total energy: -116.3 eV per cell